Entry 1:
Density functional theory data (GGA-PBE) for a geometry-optimized Er6GaSe3S2 structure.

Properties
crystal system	monoclinic
VASP energy	-5.733	eV/atom
raw formation energy	-1.64	eV per atom
total magnetic moment	0.0	Bohr magnetons per cell

a = 6.8940 Å, b = 6.8940 Å, c = 7.0155 Å
α = 99.43°, β = 99.43°, γ = 119.79°
Closest atoms and distances in Å follow each position.
Fractional coordinates of all 12 atoms:
Er: 0.0890 0.4226 0.7673  2 S 2.77, 1 Ga 2.77, 3 Se 2.90
Er: 0.2441 0.2441 0.2321  2 S 2.77, 1 Ga 2.77, 3 Se 2.91
Er: 0.4226 0.0890 0.7673  2 S 2.77, 1 Ga 2.77, 3 Se 2.90
Er: 0.5774 0.9110 0.2327  2 S 2.77, 1 Ga 2.77, 3 Se 2.90
Er: 0.7559 0.7559 0.7679  2 S 2.77, 1 Ga 2.77, 3 Se 2.91
Er: 0.9110 0.5774 0.2327  2 S 2.77, 1 Ga 2.77, 3 Se 2.90
Ga: 0.5000 0.5000 0.0000  6 Er 2.77
Se: 0.0000 0.0000 0.5000  6 Er 2.90-2.91
Se: 0.3325 0.6675 0.5000  6 Er 2.90-2.91
Se: 0.6675 0.3325 0.5000  6 Er 2.90-2.91
S: 0.1665 0.8335 0.0000  6 Er 2.77
S: 0.8335 0.1665 0.0000  6 Er 2.77


Entry 2:
Density functional theory data (GGA-PBE) for a geometry-optimized Er4GaSiS2 structure.

Properties
crystal system	tetragonal
VASP energy	-5.658	eV/atom
raw formation energy	-1.29	eV per atom
total magnetic moment	0.0	Bohr magnetons per cell

a = 6.9092 Å, b = 6.9092 Å, c = 6.9092 Å
α = 131.75°, β = 131.75°, γ = 70.62°
Closest atoms and distances in Å follow each position.
Fractional coordinates of all 8 atoms:
Er: 0.0037 0.5037 0.5000  3 S 2.78-2.82, 2 Ga 2.82, 1 Si 2.86
Er: 0.2421 0.2421 0.0000  3 S 2.73-2.83, 2 Si 2.83, 1 Ga 2.91
Er: 0.4963 0.9963 0.5000  3 S 2.78-2.82, 2 Ga 2.82, 1 Si 2.86
Er: 0.7579 0.7579 0.0000  3 S 2.73-2.83, 2 Si 2.83, 1 Ga 2.91
Ga: 0.5000 0.5000 0.0000  6 Er 2.82-2.91
Si: 0.7500 0.2500 0.5000  6 Er 2.83-2.86
S: 0.0000 0.0000 0.0000  6 Er 2.73-2.82
S: 0.2500 0.7500 0.5000  6 Er 2.78-2.83


Entry 3:
Density functional theory data (GGA-PBE) for a geometry-optimized Er8Ga3Te4S structure.

Properties
crystal system	trigonal
VASP energy	-4.990	eV/atom
raw formation energy	-1.10	eV per atom
total magnetic moment	0.0	Bohr magnetons per cell

a = 8.6034 Å, b = 8.6034 Å, c = 8.6034 Å
α = 57.30°, β = 57.30°, γ = 57.30°
Closest atoms and distances in Å follow each position.
Fractional coordinates of all 16 atoms:
Er: 0.2404 0.7404 0.7404  1 S 2.86, 2 Ga 2.86, 3 Te 3.11
Er: 0.2435 0.2435 0.2435  3 Ga 2.90, 3 Te 3.07
Er: 0.2596 0.2596 0.7596  1 S 2.86, 2 Ga 2.86, 3 Te 3.11
Er: 0.2596 0.7596 0.2596  1 S 2.86, 2 Ga 2.86, 3 Te 3.11
Er: 0.7404 0.2404 0.7404  1 S 2.86, 2 Ga 2.86, 3 Te 3.11
Er: 0.7404 0.7404 0.2404  1 S 2.86, 2 Ga 2.86, 3 Te 3.11
Er: 0.7565 0.7565 0.7565  3 Ga 2.90, 3 Te 3.07
Er: 0.7596 0.2596 0.2596  1 S 2.86, 2 Ga 2.86, 3 Te 3.11
Ga: 0.0000 0.0000 0.5000  6 Er 2.86-2.90
Ga: 0.0000 0.5000 0.0000  6 Er 2.86-2.90
Ga: 0.5000 0.0000 0.0000  6 Er 2.86-2.90
Te: 0.0000 0.0000 0.0000  6 Er 3.11
Te: 0.0000 0.5000 0.5000  6 Er 3.07-3.11
Te: 0.5000 0.0000 0.5000  6 Er 3.07-3.11
Te: 0.5000 0.5000 0.0000  6 Er 3.07-3.11
S: 0.5000 0.5000 0.5000  6 Er 2.86


Entry 4:
Density functional theory data (GGA-PBE) for a geometry-optimized Er4GaTeS2 structure.

Properties
crystal system	monoclinic
VASP energy	-5.494	eV/atom
raw formation energy	-1.41	eV per atom
total magnetic moment	0.0	Bohr magnetons per cell

a = 7.0741 Å, b = 3.9394 Å, c = 7.1583 Å
α = 90.00°, β = 108.47°, γ = 90.00°
Closest atoms and distances in Å follow each position.
Fractional coordinates of all 8 atoms:
Er: 0.2283 0.0000 0.2214  3 S 2.72-2.94, 1 Ga 2.85, 2 Te 3.02
Er: 0.2370 0.5000 0.7551  3 S 2.78-2.84, 2 Ga 2.89, 1 Te 2.99
Er: 0.7630 0.5000 0.2449  3 S 2.78-2.84, 2 Ga 2.89, 1 Te 2.99
Er: 0.7717 0.0000 0.7786  3 S 2.72-2.94, 1 Ga 2.85, 2 Te 3.02
Ga: 0.5000 0.0000 0.0000  6 Er 2.85-2.89
Te: 0.5000 0.5000 0.5000  6 Er 2.99-3.02
S: 0.0000 0.0000 0.5000  6 Er 2.84-2.94
S: 0.0000 0.5000 0.0000  6 Er 2.72-2.78


Entry 5:
Density functional theory data (GGA-PBE) for a geometry-optimized Er6GaTe3S2 structure.

Properties
crystal system	monoclinic
VASP energy	-5.414	eV/atom
raw formation energy	-1.41	eV per atom
total magnetic moment	0.0	Bohr magnetons per cell

a = 7.0765 Å, b = 7.0765 Å, c = 7.3795 Å
α = 99.18°, β = 99.18°, γ = 119.90°
Closest atoms and distances in Å follow each position.
Fractional coordinates of all 12 atoms:
Er: 0.0955 0.4294 0.7872  2 S 2.79, 1 Ga 2.79, 3 Te 3.10
Er: 0.2366 0.2366 0.2116  2 S 2.78, 1 Ga 2.79, 3 Te 3.10-3.11
Er: 0.4294 0.0955 0.7872  2 S 2.79, 1 Ga 2.79, 3 Te 3.10
Er: 0.5706 0.9045 0.2128  2 S 2.79, 1 Ga 2.79, 3 Te 3.10
Er: 0.7634 0.7634 0.7884  2 S 2.78, 1 Ga 2.79, 3 Te 3.10-3.11
Er: 0.9045 0.5706 0.2128  2 S 2.79, 1 Ga 2.79, 3 Te 3.10
Ga: 0.5000 0.5000 0.0000  6 Er 2.79
Te: 0.0000 0.0000 0.5000  6 Er 3.10
Te: 0.3334 0.6666 0.5000  6 Er 3.10-3.11
Te: 0.6666 0.3334 0.5000  6 Er 3.10-3.11
S: 0.1667 0.8333 0.0000  6 Er 2.78-2.79
S: 0.8333 0.1667 0.0000  6 Er 2.78-2.79


Entry 6:
Density functional theory data (GGA-PBE) for a geometry-optimized ErTl2GaS4 structure.

Properties
crystal system	orthorhombic
VASP energy	-4.451	eV/atom
raw formation energy	-0.85	eV per atom
total magnetic moment	0.0	Bohr magnetons per cell

a = 8.1690 Å, b = 8.1690 Å, c = 8.1690 Å
α = 121.04°, β = 119.51°, γ = 89.53°
Closest atoms and distances in Å follow each position.
Fractional coordinates of all 16 atoms:
Er: 0.0000 0.0000 0.0000  6 S 2.74-2.78
Er: 0.5000 0.0000 0.5000  6 S 2.74-2.78
Tl: 0.0000 0.5000 0.5000  6 S 3.05-3.07
Tl: 0.5000 0.0000 0.0000  6 S 3.16-3.18
Tl: 0.5000 0.5000 0.0000  6 S 3.05-3.07
Tl: 0.5000 0.5000 0.5000  6 S 3.16-3.18
Ga: 0.0000 0.0000 0.5000  6 S 2.63-2.64
Ga: 0.0000 0.5000 0.0000  6 S 2.63-2.64
S: 0.1922 0.2376 0.9547  2 Ga 2.63, 1 Er 2.78
S: 0.2171 0.7624 0.4547  2 Ga 2.63, 1 Er 2.78
S: 0.2265 0.1981 0.4716  1 Ga 2.64, 2 Er 2.74
S: 0.2265 0.7549 0.0284  1 Ga 2.64, 2 Er 2.74
S: 0.7735 0.2451 0.9716  1 Ga 2.64, 2 Er 2.74
S: 0.7735 0.8019 0.5284  1 Ga 2.64, 2 Er 2.74
S: 0.7829 0.2376 0.5453  2 Ga 2.63, 1 Er 2.78
S: 0.8078 0.7624 0.0453  2 Ga 2.63, 1 Er 2.78


Entry 7:
Density functional theory data (GGA-PBE) for a geometry-optimized Er3Tl3GaS8 structure.

Properties
crystal system	monoclinic
VASP energy	-4.989	eV/atom
raw formation energy	-1.20	eV per atom
total magnetic moment	0.0	Bohr magnetons per cell

a = 7.8436 Å, b = 7.8436 Å, c = 8.6448 Å
α = 116.92°, β = 116.92°, γ = 60.00°
Closest atoms and distances in Å follow each position.
Fractional coordinates of all 15 atoms:
Er: 0.0000 0.0000 0.0000  6 S 2.71-2.73
Er: 0.0000 0.5000 0.0000  6 S 2.71-2.73
Er: 0.5000 0.0000 0.0000  6 S 2.71-2.73
Tl: 0.0000 0.5000 0.5000  6 S 3.16-3.17
Tl: 0.5000 0.0000 0.5000  6 S 3.16-3.17
Tl: 0.5000 0.5000 0.5000  6 S 3.16
Ga: 0.5000 0.5000 0.0000  6 S 2.54-2.55
S: 0.2336 0.2336 0.2010  3 Er 2.71
S: 0.2514 0.7194 0.1904  1 Ga 2.54, 2 Er 2.73
S: 0.2803 0.2803 0.8093  1 Ga 2.55, 2 Er 2.73
S: 0.2806 0.7486 0.8096  1 Ga 2.54, 2 Er 2.73
S: 0.7194 0.2514 0.1904  1 Ga 2.54, 2 Er 2.73
S: 0.7197 0.7197 0.1907  1 Ga 2.55, 2 Er 2.73
S: 0.7486 0.2806 0.8096  1 Ga 2.54, 2 Er 2.73
S: 0.7664 0.7664 0.7990  3 Er 2.71


Entry 8:
Density functional theory data (GGA-PBE) for a geometry-optimized Er2GaSb structure.

Properties
crystal system	trigonal
VASP energy	-4.726	eV/atom
raw formation energy	-0.66	eV per atom
total magnetic moment	0.0	Bohr magnetons per cell

a = 7.8358 Å, b = 7.8358 Å, c = 7.8358 Å
α = 30.40°, β = 30.40°, γ = 30.40°
Closest atoms and distances in Å follow each position.
Fractional coordinates of all 4 atoms:
Er: 0.2495 0.2495 0.2495  3 Sb 3.01, 3 Ga 3.03
Er: 0.7505 0.7505 0.7505  3 Sb 3.01, 3 Ga 3.03
Ga: 0.0000 0.0000 0.0000  6 Er 3.03
Sb: 0.5000 0.5000 0.5000  6 Er 3.01